{
  "formula": "CaGePb",
  "functional": "GGA-PBE",
  "state": "optimized geometry",
  "relative_energy_mev_per_atom": 245,
  "mass_density_g_cm3": 6.3,
  "lattice": [[-0.664, 4.011, -1.623], [-4.242, -0.926, -0.553], [1.594, -0.038, 5.159]],
  "species": ["Pb", "Ge", "Ca"],
  "fractional_positions": [[0.959, 0.959, 0.918], [0.275, 0.275, 0.551], [0.616, 0.616, 0.231]]
}